# RbZnSClO4

RbZnSClO4 after structural relaxation (PBE-GGA, Alexandria via LeMat-Bulk).

## Properties
space-group type	No. 14
uncorrected formation energy	-12.9	eV/f.u.

a = 9.827 Å, b = 7.364 Å, c = 8.617 Å
α = 83.56°, β = 90.00°, γ = 90.00°
Element x y z (fractional)
Rb  0.425  0.634  0.694
Rb  0.925  0.366  0.806
Rb  0.075  0.634  0.194
Rb  0.575  0.366  0.306
Zn  0.694  0.905  0.047
Zn  0.806  0.905  0.547
Zn  0.194  0.095  0.453
Zn  0.306  0.095  0.953
S  0.925  0.098  0.238
S  0.075  0.902  0.762
S  0.425  0.902  0.262
S  0.575  0.098  0.738
Cl  0.184  0.376  0.519
Cl  0.816  0.624  0.481
Cl  0.684  0.624  0.981
Cl  0.316  0.376  0.019
O  0.627  0.960  0.637
O  0.830  0.109  0.374
O  0.670  0.109  0.874
O  0.441  0.020  0.798
O  0.439  0.721  0.348
O  0.561  0.279  0.652
O  0.170  0.891  0.626
O  0.330  0.891  0.126
O  0.373  0.040  0.363
O  0.127  0.040  0.863
O  0.873  0.960  0.137
O  0.559  0.980  0.202
O  0.941  0.980  0.702
O  0.061  0.721  0.848
O  0.939  0.279  0.152
O  0.059  0.020  0.298



# Sm3ErTc8

Sm3ErTc8 after structural relaxation (PBE-GGA, Alexandria via LeMat-Bulk).

## Properties
space-group type	No. 160
E_form	-0.056	eV/atom

a = 5.417 Å, b = 5.417 Å, c = 9.494 Å
α = 73.42°, β = 73.42°, γ = 60.00°
Element x y z (fractional)
Sm  0.375  0.375  0.876
Sm  0.000  0.000  0.000
Sm  0.500  0.500  0.500
Er  0.875  0.875  0.374
Tc  0.935  0.437  0.191
Tc  0.440  0.938  0.685
Tc  0.437  0.437  0.191
Tc  0.938  0.938  0.685
Tc  0.188  0.188  0.437
Tc  0.687  0.687  0.938
Tc  0.437  0.935  0.191
Tc  0.938  0.440  0.685



Number 1: mass density 3.03 g cm⁻³. Number 2: mass density 10.22 g cm⁻³.